DFT (PBE-GGA) results for a geometry-optimized PIr3 structure.

Calculated values
Calculated density (g cm⁻³): 17.38
Calculated formation energy (kJ per mole of atoms): 31
Polymorph energy (0 for the lowest one) (meV/atom): 345.2
Symmetry: Cmmm

```
PIr3
1.0
-2.367 0.026 -1.470
0.708 -2.197 1.561
-4.198 3.495 6.825
Ir P
3 1
direct
0.000 0.000 0.023
0.500 0.500 0.750
0.000 0.000 0.477
0.500 0.500 0.250
```

=====

DFT (PBE-GGA) results for a geometry-optimized ReNi2Hg structure.

Calculated values
Calculated density (g cm⁻³): 14.70
Calculated formation energy (kJ per mole of atoms): 42
Symmetry: P4/mmm

```
ReNi2Hg
1.0
2.713 0.000 0.000
0.000 4.582 0.000
0.000 0.000 4.582
Hg Ni Re
1 2 1
direct
0.500 0.000 0.500
0.000 0.000 0.000
0.000 0.500 0.500
0.500 0.500 0.000
```

=====

DFT (PBE-GGA) results for a geometry-optimized Ac6Bi5Se structure.

Calculated values
Calculated density (g cm⁻³): 8.70
Formation energy from raw total energies (eV per atom): -1.1490
Symmetry: C2/m

```
Ac6Bi5Se
1.0
8.241 0.299 1.305
1.920 7.024 4.079
0.086 0.091 8.341
Ac Bi Se
6 5 1
direct
0.754 0.082 0.327
0.246 0.591 0.327
0.249 0.244 0.000
0.751 0.756 0.000
0.754 0.409 0.673
0.246 0.918 0.673
0.500 0.169 0.661
0.000 0.334 0.332
0.500 0.500 0.000
0.000 0.666 0.668
0.500 0.831 0.339
0.000 0.000 0.000
```

=====

DFT (PBE-GGA) results for a geometry-optimized Tl3In12Sn structure.

Calculated values
Calculated density (g cm⁻³): 7.88
Calculated formation energy (kJ per mole of atoms): 4
Symmetry: P4/mmm

```
Tl3In12Sn
1.0
-0.808 -4.483 1.113
4.186 -0.233 2.100
-8.414 5.842 17.419
Tl In Sn
3 12 1
direct
0.000 0.000 0.248
0.000 0.000 0.500
0.000 0.000 0.752
0.500 0.500 0.000
0.500 0.500 0.246
0.500 0.500 0.500
0.500 0.500 0.754
0.500 0.000 0.122
0.500 0.000 0.372
0.500 0.000 0.628
0.500 0.000 0.878
0.000 0.500 0.122
0.000 0.500 0.372
0.000 0.500 0.628
0.000 0.500 0.878
0.000 0.000 0.000
```

=====

DFT (PBE-GGA) results for a geometry-optimized PrIn2Pd8 structure.

Calculated values
Calculated density (g cm⁻³): 10.07
Calculated formation energy (kJ per mole of atoms): -44
Symmetry: C2/m

```
PrIn2Pd8
1.0
-1.920 -3.558 2.858
8.045 -0.221 0.837
-4.523 6.643 0.940
Pr In Pd
1 2 8
direct
0.500 0.000 0.000
0.000 0.316 0.684
0.000 0.684 0.316
0.768 0.898 0.623
0.768 0.623 0.898
0.266 0.516 0.516
0.500 0.802 0.198
0.500 0.198 0.802
0.734 0.484 0.484
0.232 0.377 0.102
0.232 0.102 0.377
```

=====

DFT (PBE-GGA) results for a geometry-optimized Mg5CrSe6 structure.

Calculated values
Calculated density (g cm⁻³): 4.34
Formation energy from raw total energies (eV per atom): -1.0570
Symmetry: C2/m

```
Mg5CrSe6
1.0
-4.212 -2.288 4.699
-2.965 -5.610 -2.192
2.818 -5.980 1.213
Cr Mg Se
1 5 6
direct
0.000 0.000 0.000
0.500 0.166 0.668
0.000 0.333 0.334
0.500 0.500 0.000
0.000 0.667 0.666
0.500 0.834 0.332
0.752 0.084 0.328
0.248 0.588 0.328
0.244 0.245 0.000
0.756 0.755 0.000
0.752 0.412 0.672
0.248 0.916 0.672
```

=====

DFT (PBE-GGA) results for a geometry-optimized Sc2BiIrW structure.

Calculated values
Calculated density (g cm⁻³): 8.20
Calculated formation energy (kJ per mole of atoms): 161
Symmetry: P4/mmm

```
Sc2BiIrW
1.0
5.268 0.000 0.000
0.000 4.923 0.000
0.000 0.000 5.268
Sc Ir Bi W
2 1 1 1
direct
0.000 0.000 0.500
0.500 0.000 0.000
0.000 0.500 0.000
0.000 0.000 0.000
0.500 0.500 0.500
```

=====

DFT (PBE-GGA) results for a geometry-optimized HgPb2Br6 structure.

Calculated values
Calculated density (g cm⁻³): 5.44
Formation energy from raw total energies (eV per atom): -0.7154
Polymorph energy (0 for the lowest one) (meV/atom): 21.0
Symmetry: P4_2/mnm

```
HgPb2Br6
1.0
-0.248 -6.794 1.861
6.977 0.021 1.006
-1.860 3.581 12.828
Hg Pb Br
2 4 12
direct
0.500 0.500 0.000
0.000 0.000 0.500
0.500 0.500 0.335
0.500 0.500 0.665
0.000 0.000 0.165
0.000 0.000 0.835
0.692 0.692 0.156
0.692 0.692 0.844
0.706 0.706 0.500
0.794 0.206 0.000
0.808 0.192 0.344
0.808 0.192 0.656
0.192 0.808 0.344
0.192 0.808 0.656
0.206 0.794 0.000
0.294 0.294 0.500
0.308 0.308 0.156
0.308 0.308 0.844
```

=====

DFT (PBE-GGA) results for a geometry-optimized Be2InOs structure.

Calculated values
Calculated density (g cm⁻³): 9.28
Calculated formation energy (kJ per mole of atoms): 44
Symmetry: Cmmm

```
Be2InOs
1.0
-2.392 -0.494 1.415
0.722 -1.941 -1.919
4.155 -4.014 5.623
Be Os In
2 1 1
direct
0.000 0.000 0.962
0.000 0.000 0.538
0.500 0.500 0.750
0.500 0.500 0.250
```

=====

DFT (PBE-GGA) results for a geometry-optimized VOsRh2 structure.

Calculated values
Calculated density (g cm⁻³): 13.26
Calculated formation energy (kJ per mole of atoms): -9
Polymorph energy (0 for the lowest one) (meV/atom): 165.9
Symmetry: R3m

```
VOsRh2
1.0
2.717 0.000 0.000
1.359 2.353 0.000
1.359 0.784 8.757
V Os Rh
1 1 2
direct
0.666 0.666 0.002
0.501 0.501 0.497
0.081 0.081 0.756
0.252 0.252 0.245
```

=====

DFT (PBE-GGA) results for a geometry-optimized Ce2SmTl6 structure.

Calculated values
Calculated density (g cm⁻³): 10.53
Calculated formation energy (kJ per mole of atoms): -20
Symmetry: P-1

```
Ce2SmTl6
1.0
3.625 0.003 -1.383
0.012 8.827 0.007
-4.539 -4.411 9.892
Ce Sm Tl
2 1 6
direct
0.667 0.667 0.333
0.333 0.333 0.667
0.000 0.000 0.000
0.295 0.333 0.332
0.963 0.000 0.667
0.705 0.667 0.668
0.372 0.332 0.000
0.037 0.000 0.333
0.628 0.668 0.000
```

=====

DFT (PBE-GGA) results for a geometry-optimized K3Tl3AuI8 structure.

Calculated values
Calculated density (g cm⁻³): 4.58
Formation energy from raw total energies (eV per atom): -0.8124
Symmetry: C2/m

```
K3Tl3AuI8
1.0
-6.721 1.954 7.148
7.874 -5.776 1.982
1.222 9.847 -1.544
K Tl Au I
3 3 1 8
direct
0.500 0.000 0.500
0.500 0.500 0.500
0.000 0.500 0.500
0.000 0.000 0.000
0.000 0.500 0.000
0.500 0.500 0.000
0.000 0.000 0.500
0.251 0.502 0.251
0.749 0.498 0.749
0.807 0.614 0.305
0.193 0.386 0.695
0.771 0.999 0.270
0.229 0.001 0.730
0.228 0.999 0.270
0.772 0.001 0.730
```

=====

| no. | magnetic moment (μB per atom) | volume (Å³/cell) |
| --- | --- | --- |
| 1 | 0.0000 | 58 |
| 2 | 0.1414 | 57 |
| 3 | 0.0000 | 475 |
| 4 | 0.0000 | 444 |
| 5 | 0.0000 | 201 |
| 6 | 0.3333 | 247 |
| 7 | 0.6603 | 137 |
| 8 | 0.0000 | 668 |
| 9 | 0.0000 | 58 |
| 10 | 0.0000 | 56 |
| 11 | 0.2133 | 261 |
| 12 | 0.0001 | 704 |